# 1
The following is a DFT calculation (PBE) of a geometry-optimized Ca2PrTl structure.

a b c (Å): 3.665 3.665 10.059
angles (deg): 90.00 90.00 90.00
Atoms (fractional coordinates):
Ca 0.000 0.000 0.789
Ca 0.000 0.000 0.211
Tl 0.500 0.500 0.000
Pr 0.500 0.500 0.500

Computed properties:
Relative energy among the computed polymorphs, meV per atom: 25
DFT total energy, eV/atom: -2.964
DFT formation energy, meV/atom: -176
Spin magnetization, μB/atom: 0.000

# 2
The following is a DFT calculation (PBE) of a geometry-optimized CaPrTl structure.

a b c (Å): 5.395 6.789 6.789
angles (deg): 89.71 90.00 90.00
Atoms (fractional coordinates):
Tl 0.500 0.500 0.500
Tl 0.000 0.000 0.000
Pr 0.500 0.177 0.823
Pr 0.500 0.823 0.177
Ca 0.000 0.316 0.316
Ca 0.000 0.684 0.684

Computed properties:
Relative energy among the computed polymorphs, meV per atom: 409
DFT total energy, eV/atom: -3.017
DFT formation energy, meV/atom: 32
Spin magnetization, μB/atom: 0.000

# 3
The following is a DFT calculation (PBE) of a geometry-optimized CaPrTl structure.

a b c (Å): 3.906 5.382 5.382
angles (deg): 120.00 90.00 90.00
Atoms (fractional coordinates):
Tl 0.659 0.667 0.333
Pr 0.942 0.000 0.000
Ca 0.399 0.333 0.667

Computed properties:
Relative energy among the computed polymorphs, meV per atom: 177
DFT total energy, eV/atom: -3.249
DFT formation energy, meV/atom: -200
Spin magnetization, μB/atom: 0.000

# 4
The following is a DFT calculation (PBE) of a geometry-optimized CaPr5Tl6 structure.

a b c (Å): 5.526 9.629 9.616
angles (deg): 60.12 73.51 54.95
Atoms (fractional coordinates):
Tl 0.751 0.084 0.331
Tl 0.249 0.586 0.330
Tl 0.252 0.248 0.000
Tl 0.249 0.916 0.669
Tl 0.748 0.752 0.000
Tl 0.751 0.414 0.670
Pr 0.500 0.836 0.328
Pr 0.500 0.500 0.000
Pr 0.000 0.668 0.665
Pr 0.500 0.164 0.672
Pr 0.000 0.332 0.335
Ca 0.000 0.000 0.000

Computed properties:
Relative energy among the computed polymorphs, meV per atom: 3
DFT total energy, eV/atom: -3.738
DFT formation energy, meV/atom: -396
Spin magnetization, μB/atom: 0.000

# 5
The following is a DFT calculation (PBE) of a geometry-optimized CaPr3Tl structure.

a b c (Å): 7.131 9.023 11.015
angles (deg): 106.83 90.00 90.00
Atoms (fractional coordinates):
Pr 0.212 0.097 0.904
Pr 0.235 0.532 0.004
Pr 0.265 0.532 0.504
Pr 0.015 0.310 0.219
Pr 0.712 0.903 0.596
Pr 0.765 0.468 0.996
Pr 0.288 0.097 0.404
Pr 0.515 0.690 0.281
Pr 0.485 0.310 0.719
Pr 0.735 0.468 0.496
Pr 0.788 0.903 0.096
Pr 0.985 0.690 0.781
Tl 0.230 0.909 0.608
Tl 0.730 0.091 0.892
Tl 0.770 0.091 0.392
Tl 0.270 0.909 0.108
Ca 0.989 0.260 0.678
Ca 0.489 0.740 0.822
Ca 0.011 0.740 0.322
Ca 0.511 0.260 0.178

Computed properties:
DFT total energy, eV/atom: -3.879
DFT formation energy, meV/atom: -138
Spin magnetization, μB/atom: 0.000

# 6
The following is a DFT calculation (PBE) of a geometry-optimized Ca2Pr3Tl2 structure.

a b c (Å): 4.964 6.191 8.851
angles (deg): 105.58 90.00 113.64
Atoms (fractional coordinates):
Tl 0.826 0.653 0.806
Tl 0.174 0.347 0.194
Pr 0.500 0.000 0.000
Pr 0.369 0.737 0.558
Pr 0.631 0.263 0.442
Ca 0.131 0.263 0.781
Ca 0.869 0.737 0.219

Computed properties:
DFT total energy, eV/atom: -3.474
DFT formation energy, meV/atom: -177
Spin magnetization, μB/atom: 0.000

# 7
The following is a DFT calculation (PBE) of a geometry-optimized Ca2PrTl5 structure.

a b c (Å): 5.186 5.186 9.436
angles (deg): 105.95 105.95 90.00
Atoms (fractional coordinates):
Tl 0.628 0.128 0.256
Tl 0.500 0.500 0.000
Tl 0.128 0.628 0.256
Tl 0.872 0.372 0.744
Tl 0.372 0.872 0.744
Ca 0.751 0.751 0.501
Ca 0.249 0.249 0.499
Pr 0.000 0.000 0.000

Computed properties:
DFT total energy, eV/atom: -2.896
DFT formation energy, meV/atom: -320
Spin magnetization, μB/atom: 0.000

# 8
The following is a DFT calculation (PBE) of a geometry-optimized CaPr7Tl2 structure.

a b c (Å): 5.859 9.267 9.267
angles (deg): 119.75 90.00 90.00
Atoms (fractional coordinates):
Pr 0.500 0.500 0.500
Pr 0.000 0.753 0.247
Pr 0.500 0.699 0.948
Pr 0.500 0.052 0.301
Pr 0.500 0.948 0.699
Pr 0.000 0.247 0.753
Pr 0.500 0.301 0.052
Ca 0.000 0.000 0.000
Tl 0.500 0.305 0.695
Tl 0.500 0.695 0.305

Computed properties:
DFT total energy, eV/atom: -3.705
DFT formation energy, meV/atom: 314
Spin magnetization, μB/atom: 0.370

The highest spin magnetization belongs to which entry? CaPr7Tl2